Version w
InPOsO2 | PBE | optimized geometry

a b c (Å): 3.743 6.250 3.743
angles (deg): 90.00 90.00 90.00
Each line ends with the local moment (μB).
Element x y z (fractional)
In: 0.000 0.500 0.000  -0.01
O: 0.000 0.000 0.500  0.01
O: 0.500 0.000 0.000  0.01
P: 0.500 0.500 0.500  0.30
Os: 0.000 0.000 0.000  0.04

DOS at the Fermi energy: 0.4041 states/eV/atom
Spin magnetization: 0.73 μB per cell
Mass density: 6.98 g/cm³



Version x
InPOsO2 | PBE | optimized geometry

a b c (Å): 3.828 3.828 5.280
angles (deg): 90.00 90.00 90.00
Each line ends with the local moment (μB).
Element x y z (fractional)
O: 0.000 0.500 0.000  0.05
Os: 0.000 0.000 0.000  0.25
P: 0.000 0.000 0.500  0.01
O: 0.500 0.000 0.000  0.05
In: 0.500 0.500 0.500  0.00

DOS at the Fermi energy: 0.8205 states/eV/atom
Spin magnetization: 0.41 μB per cell
Mass density: 7.90 g/cm³



Version y
InPOsO2 | PBE | optimized geometry

a b c (Å): 3.860 3.860 6.138
angles (deg): 90.00 90.00 90.00
Each line ends with the local moment (μB).
Element x y z (fractional)
P: 0.000 0.000 0.500  -0.03
Os: 0.500 0.500 0.500  2.24
O: 0.000 0.500 0.000  0.31
O: 0.500 0.000 0.000  0.31
In: 0.000 0.000 0.000  0.01

DOS at the Fermi energy: 1.0728 states/eV/atom
Spin magnetization: 3.20 μB per cell
Mass density: 6.68 g/cm³



Stability, lowest: version y



Version w
InP2OsO | PBE | optimized geometry

a b c (Å): 4.995 4.995 3.911
angles (deg): 90.00 90.00 90.00
Each line ends with the local moment (μB).
Element x y z (fractional)
P: 0.000 0.500 0.000  -0.07
O: 0.000 0.000 0.500  0.12
Os: 0.500 0.500 0.500  2.20
In: 0.000 0.000 0.000  0.01
P: 0.500 0.000 0.000  -0.07

DOS at the Fermi energy: 1.3853 states/eV/atom
Spin magnetization: 2.34 μB per cell
Mass density: 6.52 g/cm³



Version x
InP2OsO | PBE | optimized geometry

a b c (Å): 4.952 4.952 3.676
angles (deg): 90.00 90.00 90.00
Element x y z (fractional)
In: 0.500 0.500 0.500
P: 0.000 0.500 0.000
Os: 0.000 0.000 0.000
O: 0.000 0.000 0.500
P: 0.500 0.000 0.000

DOS at the Fermi energy: 0.9142 states/eV/atom
Spin magnetization: 0.00 μB per cell
Mass density: 7.06 g/cm³



Stability, lowest: version w



Version w
InP2O6 | PBE | optimized geometry

a b c (Å): 4.796 7.529 7.529
angles (deg): 77.04 72.17 72.17
Element x y z (fractional)
In: 0.250 0.119 0.881
O: 0.990 0.397 0.330
O: 0.409 0.372 0.812
O: 0.490 0.330 0.397
O: 0.159 0.695 0.932
P: 0.269 0.581 0.772
O: 0.841 0.305 0.068
O: 0.591 0.628 0.188
O: 0.909 0.812 0.372
O: 0.091 0.188 0.628
O: 0.659 0.932 0.695
O: 0.341 0.068 0.305
O: 0.010 0.603 0.670
O: 0.510 0.670 0.603
P: 0.769 0.772 0.581
P: 0.231 0.228 0.419
In: 0.750 0.881 0.119
P: 0.731 0.419 0.228

Spin magnetization: 0.00 μB per cell
Mass density: 3.72 g/cm³



Version x
InP2O6 | PBE | optimized geometry

a b c (Å): 5.299 5.299 6.631
angles (deg): 66.45 66.45 60.00
Each line ends with the local moment (μB).
Element x y z (fractional)
In: 0.333 0.333 0.002  0.00
O: 0.897 0.338 0.238  0.09
P: 0.732 0.732 0.803  0.06
O: 0.679 0.501 0.762  0.09
P: 0.601 0.601 0.197  0.06
O: 0.338 0.527 0.238  0.09
O: 0.057 0.679 0.762  0.09
O: 0.527 0.897 0.238  0.09
O: 0.501 0.057 0.762  0.09

DOS at the Fermi energy: 0.1856 states/eV/atom
Spin magnetization: 1.00 μB per cell
Mass density: 3.17 g/cm³



Stability, lowest: version x



Version w
InP2O2 | PBE | optimized geometry

a b c (Å): 5.153 5.153 4.017
angles (deg): 90.00 90.00 90.00
Element x y z (fractional)
In: 0.000 0.000 0.000
O: 0.500 0.500 0.500
O: 0.000 0.000 0.500
P: 0.000 0.500 0.000
P: 0.500 0.000 0.000

DOS at the Fermi energy: 0.9718 states/eV/atom
Spin magnetization: 0.00 μB per cell
Mass density: 3.25 g/cm³



Version x
InP2O2 | PBE | optimized geometry

a b c (Å): 3.666 3.666 4.740
angles (deg): 90.00 90.00 90.00
Element x y z (fractional)
In: 0.500 0.500 0.500
O: 0.500 0.000 0.000
P: 0.000 0.000 0.000
P: 0.000 0.000 0.500
O: 0.000 0.500 0.000

DOS at the Fermi energy: 0.2557 states/eV/atom
Spin magnetization: 0.00 μB per cell
Mass density: 5.44 g/cm³



Stability, lowest: version w



Version w
InP3O9 | PBE | optimized geometry

a b c (Å): 6.694 7.673 8.563
angles (deg): 74.44 66.99 64.14
Element x y z (fractional)
O: 0.050 0.517 0.516
O: 0.728 0.391 0.629
P: 0.004 0.958 0.829
O: 0.092 0.741 0.832
O: 0.870 0.457 0.833
P: 0.436 0.754 0.231
O: 0.166 0.057 0.707
P: 0.812 0.537 0.669
O: 0.638 0.742 0.657
P: 0.983 0.037 0.169
O: 0.385 0.839 0.388
P: 0.578 0.254 0.731
In: 0.015 0.498 0.999
O: 0.397 0.552 0.290
O: 0.071 0.557 0.207
O: 0.840 0.957 0.333
O: 0.514 0.215 0.599
O: 0.335 0.241 0.332
O: 0.964 0.242 0.157
O: 0.761 0.052 0.790
O: 0.672 0.715 0.099
In: 0.488 0.998 0.499
O: 0.916 0.017 0.016
O: 0.252 0.891 0.129
O: 0.389 0.339 0.888
P: 0.210 0.458 0.329

DOS at the Fermi energy: 0.0000 states/eV/atom
Spin magnetization: 0.00 μB per cell
Mass density: 3.23 g/cm³



Version x
InP3O9 | PBE | optimized geometry

a b c (Å): 4.983 10.063 7.742
angles (deg): 70.86 90.00 89.99
Element x y z (fractional)
O: 0.233 0.320 0.549
O: 0.232 0.720 0.885
P: 0.368 0.023 0.314
O: 0.735 0.869 0.726
P: 0.222 0.638 0.085
O: 0.765 0.118 0.504
O: 0.473 0.331 0.825
O: 0.972 0.343 0.813
O: 0.564 0.989 0.194
O: 0.210 0.480 0.142
P: 0.730 0.635 0.306
O: 0.741 0.477 0.378
P: 0.722 0.394 0.907
In: 0.978 0.310 0.332
O: 0.265 0.913 0.488
P: 0.868 0.009 0.678
O: 0.973 0.700 0.167
P: 0.230 0.396 0.687
In: 0.478 0.721 0.660
O: 0.710 0.551 0.851
O: 0.234 0.163 0.266
O: 0.733 0.712 0.443
O: 0.471 0.688 0.180
O: 0.065 0.042 0.798
O: 0.732 0.312 0.107
O: 0.241 0.554 0.615

DOS at the Fermi energy: 0.0000 states/eV/atom
Spin magnetization: 0.00 μB per cell
Mass density: 3.19 g/cm³



Stability, lowest: version x



Version w
InPPtO2 | PBE | optimized geometry

a b c (Å): 3.950 3.950 5.054
angles (deg): 90.00 90.00 90.00
Each line ends with the local moment (μB).
Element x y z (fractional)
Pt: 0.000 0.000 0.000  0.30
P: 0.000 0.000 0.500  0.03
In: 0.500 0.500 0.500  -0.01
O: 0.500 0.000 0.000  0.19
O: 0.000 0.500 0.000  0.19

DOS at the Fermi energy: 0.9256 states/eV/atom
Spin magnetization: 0.80 μB per cell
Mass density: 7.85 g/cm³



Version x
InPPtO2 | PBE | optimized geometry

a b c (Å): 3.831 3.831 7.461
angles (deg): 90.00 90.00 90.00
Each line ends with the local moment (μB).
Element x y z (fractional)
Pt: 0.500 0.500 0.500  -0.01
O: 0.500 0.000 0.000  0.36
In: 0.000 0.000 0.000  0.02
P: 0.000 0.000 0.500  0.00
O: 0.000 0.500 0.000  0.36

DOS at the Fermi energy: 0.7070 states/eV/atom
Spin magnetization: 0.85 μB per cell
Mass density: 5.66 g/cm³



Stability, lowest: version x



Version w
RbInPO2 | PBE | optimized geometry

a b c (Å): 4.396 4.396 6.585
angles (deg): 90.00 90.00 90.00
Each line ends with the local moment (μB).
Element x y z (fractional)
P: 0.000 0.000 0.500  0.45
O: 0.500 0.000 0.000  0.38
Rb: 0.000 0.000 0.000  0.02
In: 0.500 0.500 0.500  -0.01
O: 0.000 0.500 0.000  0.38

DOS at the Fermi energy: 0.6481 states/eV/atom
Spin magnetization: 1.99 μB per cell
Mass density: 3.43 g/cm³



Version x
RbInPO2 | PBE | optimized geometry

a b c (Å): 4.462 4.462 5.221
angles (deg): 90.00 90.00 90.00
Each line ends with the local moment (μB).
Element x y z (fractional)
In: 0.000 0.000 0.000  -0.02
O: 0.000 0.500 0.000  0.51
P: 0.000 0.000 0.500  0.80
O: 0.500 0.000 0.000  0.51
Rb: 0.500 0.500 0.500  0.05

DOS at the Fermi energy: 0.6088 states/eV/atom
Spin magnetization: 3.02 μB per cell
Mass density: 4.21 g/cm³



Stability, lowest: version w



Version w
InRePO2 | PBE | optimized geometry

a b c (Å): 3.850 3.850 5.188
angles (deg): 90.00 90.00 90.00
Element x y z (fractional)
P: 0.000 0.000 0.500
O: 0.000 0.500 0.000
Re: 0.000 0.000 0.000
O: 0.500 0.000 0.000
In: 0.500 0.500 0.500

DOS at the Fermi energy: 0.4872 states/eV/atom
Spin magnetization: 0.00 μB per cell
Mass density: 7.86 g/cm³



Version x
InRePO2 | PBE | optimized geometry

a b c (Å): 3.892 3.892 6.025
angles (deg): 90.00 90.00 90.00
Each line ends with the local moment (μB).
Element x y z (fractional)
P: 0.000 0.000 0.500  -0.18
O: 0.500 0.000 0.000  0.08
In: 0.000 0.000 0.000  -0.01
Re: 0.500 0.500 0.500  3.10
O: 0.000 0.500 0.000  0.08

DOS at the Fermi energy: 0.4235 states/eV/atom
Spin magnetization: 3.53 μB per cell
Mass density: 6.62 g/cm³



Stability, lowest: version x